No. 1
Crystalline Ta3NbTc at its relaxed geometry, computed with GGA-PBE.

Results
Its total energy is -46.2 eV for the cell shown. The energy of formation comes out at 9.78 eV/f.u. Its space group is No. 221. The energy above the most stable polymorph in this dataset is 205.9 kJ per mole of atoms.

a b c (Å): 4.7870 4.7870 4.7870
angles (deg): 90.00 90.00 90.00
Closest atoms and distances in Å follow each position.
Fractional coordinates of all 5 atoms:
Ta: 0.5000 0.0000 0.0000  2 Nb 2.39
Ta: 0.0000 0.0000 0.5000  2 Nb 2.39
Ta: 0.0000 0.5000 0.0000  2 Nb 2.39
Nb: 0.0000 0.0000 0.0000  6 Ta 2.39
Tc: 0.5000 0.5000 0.5000  12 Ta 3.38



No. 2
Crystalline Ta3Nb4Tc at its relaxed geometry, computed with GGA-PBE.

Results
Its total energy is -87.1 eV for the cell shown. The energy of formation comes out at -0.92 eV/f.u. Its space group is No. 123. The energy above the most stable polymorph in this dataset is 0.0 kJ per mole of atoms.

a b c (Å): 3.2639 3.2639 13.2932
angles (deg): 90.00 90.00 90.00
Closest atoms and distances in Å follow each position.
Fractional coordinates of all 8 atoms:
Ta: 0.5000 0.5000 0.2472  8 Nb 2.84-2.88
Ta: 0.5000 0.5000 0.7528  8 Nb 2.84-2.88
Ta: 0.5000 0.5000 0.5000  8 Nb 2.87
Nb: 0.0000 0.0000 0.8821  4 Tc 2.79, 4 Ta 2.88
Nb: 0.0000 0.0000 0.3720  8 Ta 2.84-2.87
Nb: 0.0000 0.0000 0.6280  8 Ta 2.84-2.87
Nb: 0.0000 0.0000 0.1179  4 Tc 2.79, 4 Ta 2.88
Tc: 0.5000 0.5000 0.0000  8 Nb 2.79